Record 1
LaNbAs: relaxed, PBE.

It has space group F-43m (No. 216), with a = 6.562 Å, b = 6.562 Å, c = 6.562 Å, α = 90.00°, β = 90.00° and γ = 90.00°. The asymmetric unit holds La at (0.000, 0.000, 0.000), Nb at (0.250, 0.250, 0.250) and As at (0.000, 0.000, 0.500).

Its total moment is 0.82 μB/f.u. Its total DFT energy (no corrections) is -76.75 eV for the cell shown. The value obtained for the offset from the most stable computed form is 0.00 kJ/mol of atoms.

=====

Record 2
NiP2Se: relaxed, PBE.

It has space group P6_3/mmc (No. 194), with a = 3.6826 Å, b = 3.6826 Å, c = 11.1097 Å, α = 90.00°, β = 90.00° and γ = 120.00°. The asymmetric unit holds Ni at (0.0000, 0.0000, 0.0000), P at (0.3333, 0.6667, 0.0797) and Se at (0.0000, 0.0000, 0.2500).

Its total moment is 0.00 μB/f.u. Its total DFT energy (no corrections) is -39.05 eV for the cell shown.

=====

Record 3
HoAuSeO: relaxed, PBE.

It has space group Aem2 (No. 39), with a = 9.611 Å, b = 5.586 Å, c = 5.605 Å, α = 90.00°, β = 90.00° and γ = 90.00°. The asymmetric unit holds Ho at (0.113, 0.250, 0.000), Au at (0.500, 0.000, 0.001), Se at (0.277, 0.250, 0.501) and O at (0.000, 0.000, 0.250).

Its total moment is 0.00 μB/f.u. Its total DFT energy (no corrections) is -95.66 eV for the cell shown. The value obtained for the offset from the most stable computed form is 1.16 kJ/mol of atoms.

=====

Record 4
KGdZnSe3: relaxed, PBE.

It has space group P2_1/m (No. 11), with a = 8.806 Å, b = 4.159 Å, c = 10.135 Å, α = 90.00°, β = 107.99° and γ = 90.00°. The asymmetric unit holds K at (0.233, 0.250, 0.264), Gd at (0.320, 0.750, 0.864), Zn at (0.081, 0.250, 0.610), Se at (0.086, 0.250, 0.852), Se at (0.210, 0.750, 0.545) and Se at (0.461, 0.750, 0.156).

Its total moment is 0.00 μB/f.u. Its total DFT energy (no corrections) is -51.56 eV for the cell shown.

=====

Record 5
ErTm2Al3CoCu2: relaxed, PBE.

It has space group Amm2 (No. 38), with a = 4.024 Å, b = 11.888 Å, c = 6.860 Å, α = 90.00°, β = 90.00° and γ = 90.00°. The asymmetric unit holds Er at (0.000, 0.000, 0.000), Tm at (0.000, 0.204, 0.386), Al at (0.500, 0.000, 0.360), Al at (0.500, 0.115, 0.705), Co at (0.000, 0.000, 0.589) and Cu at (0.500, 0.167, 0.091).

Its total moment is 0.01 μB/f.u. Its total DFT energy (no corrections) is -86.97 eV for the cell shown.

=====

Record 6
PrNd3Gd2CoTe2: relaxed, PBE.

It has space group Amm2 (No. 38), with a = 3.989 Å, b = 14.952 Å, c = 8.588 Å, α = 90.00°, β = 90.00° and γ = 90.00°. The asymmetric unit holds Pr at (0.000, 0.000, 0.000), Nd at (0.500, 0.000, 0.642), Nd at (0.500, 0.204, 0.032), Gd at (0.000, 0.117, 0.354), Co at (0.500, 0.000, 0.245) and Te at (0.000, 0.168, 0.734).

Its total moment is 0.05 μB/f.u. Its total DFT energy (no corrections) is -95.90 eV for the cell shown.

=====

Record 7
GdTeNO: relaxed, PBE.

It has space group P4/nmm (No. 129, origin choice 2), with a = 4.522 Å, b = 4.522 Å, c = 7.149 Å, α = 90.00°, β = 90.00° and γ = 90.00°. The asymmetric unit holds Gd at (0.250, 0.250, 0.121), Te at (0.250, 0.750, 0.500), N at (0.250, 0.250, 0.449) and O at (0.250, 0.750, 0.000).

Its total moment is 0.00 μB/f.u. Its total DFT energy (no corrections) is -51.07 eV for the cell shown. The value obtained for the offset from the most stable computed form is 34.58 kJ/mol of atoms.

=====

Please write out number 2 again, unchanged.
NiP2Se: relaxed, PBE.

It has space group P6_3/mmc (No. 194), with a = 3.6826 Å, b = 3.6826 Å, c = 11.1097 Å, α = 90.00°, β = 90.00° and γ = 120.00°. The asymmetric unit holds Ni at (0.0000, 0.0000, 0.0000), P at (0.3333, 0.6667, 0.0797) and Se at (0.0000, 0.0000, 0.2500).

Its total moment is 0.00 μB/f.u. Its total DFT energy (no corrections) is -39.05 eV for the cell shown.

=====

Question: total moment of number 7 (GdTeNO)?
Answer: 0.00 μB/f.u.

=====

Question: Which formula does entry 7 have?
Answer: GdTeNO